[1]
Entry from Alexandria via LeMat-Bulk: KReIr2 at its PBEsol-relaxed geometry (SCAN).

The energy of formation comes out at 2.92 eV/f.u. The electronic total energy comes out at -54.676 eV/atom. The calculation puts the density of states at the Fermi level at 4.79 states/eV per cell.

Structure (CIF):
```
data_KReIr2
_cell_length_a 2.695
_cell_length_b 4.248
_cell_length_c 7.137
_cell_angle_alpha 90.00
_cell_angle_beta 97.76
_cell_angle_gamma 90.00
_symmetry_space_group_name_H-M 'P 1 m 1'
_symmetry_Int_Tables_number 6
loop_
_symmetry_equiv_pos_as_xyz
'x,y,z'
'x,-y,z'
loop_
_atom_site_label
_atom_site_type_symbol
_atom_site_fract_x
_atom_site_fract_y
_atom_site_fract_z
K1 K 0.000 0.000 0.000
Re1 Re 0.783 0.500 0.377
Ir1 Ir 0.323 0.000 0.478
Ir2 Ir 0.398 0.500 0.693
```

***

[2]
Entry from Alexandria via LeMat-Bulk: KIrRh2 at its PBEsol-relaxed geometry (SCAN).

Its excess energy over the best structure of this formula in the dataset is 318 meV per atom. The energy of formation comes out at 3.33 eV/f.u. The electronic total energy comes out at -35.911 eV/atom. The calculation puts the density of states at the Fermi level at 3.69 states/eV per cell.

Structure (CIF):
```
data_KIrRh2
_cell_length_a 4.815
_cell_length_b 4.815
_cell_length_c 2.723
_cell_angle_alpha 90.00
_cell_angle_beta 90.00
_cell_angle_gamma 90.00
_symmetry_space_group_name_H-M 'P 4/m m m'
_symmetry_Int_Tables_number 123
_symmetry_space_group_name_Hall '-P 4 2'
loop_
_atom_site_label
_atom_site_type_symbol
_atom_site_fract_x
_atom_site_fract_y
_atom_site_fract_z
K1 K 0.000 0.000 0.000
Ir1 Ir 0.500 0.500 0.000
Rh1 Rh 0.000 0.500 0.500
```

***

[3]
Entry from Alexandria via LeMat-Bulk: KIrRh2 at its PBEsol-relaxed geometry (SCAN).

Its excess energy over the best structure of this formula in the dataset is 102 meV per atom. The energy of formation comes out at 2.47 eV/f.u. The electronic total energy comes out at -36.126 eV/atom. The calculation puts the density of states at the Fermi level at 9.20 states/eV per cell.

Structure (CIF):
```
data_KIrRh2
_cell_length_a 2.753
_cell_length_b 4.670
_cell_length_c 9.986
_cell_angle_alpha 90.00
_cell_angle_beta 90.00
_cell_angle_gamma 90.00
_symmetry_space_group_name_H-M 'C m m 2'
_symmetry_Int_Tables_number 35
loop_
_symmetry_equiv_pos_as_xyz
'x,y,z'
'-x,-y,z'
'-x,y,z'
'x,-y,z'
'x+1/2,y+1/2,z'
'-x+1/2,-y+1/2,z'
'-x+1/2,y+1/2,z'
'x+1/2,-y+1/2,z'
loop_
_atom_site_label
_atom_site_type_symbol
_atom_site_fract_x
_atom_site_fract_y
_atom_site_fract_z
K1 K 0.000 0.000 0.000
Ir1 Ir 0.000 0.500 0.719
Rh1 Rh 0.000 0.000 0.496
Rh2 Rh 0.000 0.500 0.276
```